one | BaZrAg3: relaxed, PBE.

a b c (Å): 5.6306 5.6306 5.6306
angles (deg): 90.00 90.00 90.00
Closest atoms and distances in Å follow each position.
Element x y z (fractional)
Ba  0.0000  0.0000  0.0000  6 Ag 2.82
Zr  0.5000  0.5000  0.5000  12 Ag 3.98
Ag  0.0000  0.0000  0.5000  2 Ba 2.82
Ag  0.0000  0.5000  0.0000  2 Ba 2.82
Ag  0.5000  0.0000  0.0000  2 Ba 2.82

Values from the calculation:
- Size of the total moment: 0.4610 μB/atom
- Symmetry: Pm-3m (221)

two | BaZrAg3: relaxed, PBE.

a b c (Å): 5.4103 5.4103 5.4103
angles (deg): 90.00 90.00 90.00
Closest atoms and distances in Å follow each position.
Element x y z (fractional)
Ba  0.0000  0.0000  0.0000  12 Ag 3.83
Zr  0.5000  0.5000  0.5000  6 Ag 2.71
Ag  0.0000  0.5000  0.5000  2 Zr 2.71
Ag  0.5000  0.0000  0.5000  2 Zr 2.71
Ag  0.5000  0.5000  0.0000  2 Zr 2.71

Values from the calculation:
- Size of the total moment: 0.0517 μB/atom
- Symmetry: Pm-3m (221)

The energy of each structure relative to the most stable one, in kJ/mol of atoms, is as follows: one 94.0; two 0.0.